A relaxed structure of NaYCBr2. Source: Alexandria, functional GGA-PBE.

Geometry as CIF:
```
data_NaYCBr2
_cell_length_a 5.0438
_cell_length_b 5.0438
_cell_length_c 4.5326
_cell_angle_alpha 90.00
_cell_angle_beta 90.00
_cell_angle_gamma 90.00
_space_group_name_H-M_alt 'P 4/m m m'
_space_group_IT_number 123
_space_group_name_Hall '-P 4 2'
loop_
_atom_site_label
_atom_site_fract_x
_atom_site_fract_y
_atom_site_fract_z
Na1 0.0000 0.0000 0.0000
Y1 0.5000 0.5000 0.0000
C1 0.0000 0.0000 0.5000
Br1 0.0000 0.5000 0.5000
```

Formation energy without anion corrections in eV per formula unit: 3.79

***

A relaxed structure of K2Sm2UTe6. Source: Alexandria, functional GGA-PBE.

Geometry as CIF:
```
data_K2Sm2UTe6
_cell_length_a 7.7956
_cell_length_b 13.4432
_cell_length_c 8.8194
_cell_angle_alpha 90.00
_cell_angle_beta 107.41
_cell_angle_gamma 90.00
_space_group_name_H-M_alt 'C 1 2/m 1'
_space_group_IT_number 12
loop_
_space_group_symop_operation_xyz
'x,y,z'
'-x,-y,-z'
'-x,y,-z'
'x,-y,z'
'x+1/2,y+1/2,z'
'-x+1/2,-y+1/2,-z'
'-x+1/2,y+1/2,-z'
'x+1/2,-y+1/2,z'
loop_
_atom_site_label
_atom_site_fract_x
_atom_site_fract_y
_atom_site_fract_z
K1 0.0000 0.1692 0.0000
Sm1 0.0000 0.3326 0.5000
U1 0.0000 0.0000 0.5000
Te1 0.2350 0.1621 0.7091
Te2 0.2445 0.5000 0.7071
```

Formation energy without anion corrections in eV per formula unit: -13.04

***

A relaxed structure of La8Re. Source: Alexandria, functional GGA-PBE.

Geometry as CIF:
```
data_La8Re
_cell_length_a 10.9193
_cell_length_b 10.9193
_cell_length_c 4.8301
_cell_angle_alpha 90.00
_cell_angle_beta 90.00
_cell_angle_gamma 90.00
_space_group_name_H-M_alt 'I 4/m m m'
_space_group_IT_number 139
_space_group_name_Hall '-I 4 2'
loop_
_atom_site_label
_atom_site_fract_x
_atom_site_fract_y
_atom_site_fract_z
La1 0.0000 0.3227 0.0000
La2 0.1482 0.1482 0.5000
Re1 0.0000 0.0000 0.0000
```

Energy relative to the elements in kJ per mole of atoms: 20

***

A relaxed structure of CdSn2Ir. Source: Alexandria, functional GGA-PBE.

Geometry as CIF:
```
data_CdSn2Ir
_cell_length_a 4.0569
_cell_length_b 7.5132
_cell_length_c 5.8520
_cell_angle_alpha 90.00
_cell_angle_beta 90.00
_cell_angle_gamma 90.00
_space_group_name_H-M_alt 'I m m 2'
_space_group_IT_number 44
loop_
_space_group_symop_operation_xyz
'x,y,z'
'-x,-y,z'
'-x,y,z'
'x,-y,z'
'x+1/2,y+1/2,z+1/2'
'-x+1/2,-y+1/2,z+1/2'
'-x+1/2,y+1/2,z+1/2'
'x+1/2,-y+1/2,z+1/2'
loop_
_atom_site_label
_atom_site_fract_x
_atom_site_fract_y
_atom_site_fract_z
Cd1 0.0000 0.0000 0.0000
Sn1 0.0000 0.1942 0.4475
Ir1 0.0000 0.5000 0.1674
```

Energy relative to the elements in kJ per mole of atoms: -2

***

A relaxed structure of BaScW2. Source: Alexandria, functional GGA-PBE.

Geometry as CIF:
```
data_BaScW2
_cell_length_a 4.0624
_cell_length_b 4.0624
_cell_length_c 10.3664
_cell_angle_alpha 90.00
_cell_angle_beta 90.00
_cell_angle_gamma 90.00
_space_group_name_H-M_alt 'I 4/m m m'
_space_group_IT_number 139
_space_group_name_Hall '-I 4 2'
loop_
_atom_site_label
_atom_site_fract_x
_atom_site_fract_y
_atom_site_fract_z
Ba1 0.0000 0.0000 0.0000
Sc1 0.0000 0.0000 0.5000
W1 0.0000 0.5000 0.2500
```

Energy relative to the elements in kJ per mole of atoms: 125
Energy above the most stable polymorph in this dataset in eV per atom: 0.7820

***

A relaxed structure of CaDySc2. Source: Alexandria, functional GGA-PBE.

Geometry as CIF:
```
data_CaDySc2
_cell_length_a 3.4501
_cell_length_b 3.4501
_cell_length_c 34.2701
_cell_angle_alpha 90.00
_cell_angle_beta 90.00
_cell_angle_gamma 120.00
_space_group_name_H-M_alt 'R 3 m'
_space_group_IT_number 160
_space_group_name_Hall 'R 3 -2"'
loop_
_atom_site_label
_atom_site_fract_x
_atom_site_fract_y
_atom_site_fract_z
Ca1 0.0000 0.0000 0.0000
Dy1 0.0000 0.0000 0.1661
Sc1 0.0000 0.0000 0.5784
Sc2 0.0000 0.0000 0.7540
```

Energy relative to the elements in kJ per mole of atoms: 14
Energy above the most stable polymorph in this dataset in eV per atom: 0.0015

***

A relaxed structure of SbSe. Source: Alexandria, functional GGA-PBE.

Geometry as CIF:
```
data_SbSe
_cell_length_a 4.7416
_cell_length_b 4.2218
_cell_length_c 6.0227
_cell_angle_alpha 90.00
_cell_angle_beta 105.84
_cell_angle_gamma 90.00
_space_group_name_H-M_alt 'P 1 21/m 1'
_space_group_IT_number 11
loop_
_space_group_symop_operation_xyz
'x,y,z'
'-x,-y,-z'
'-x,y+1/2,-z'
'x,-y+1/2,z'
loop_
_atom_site_label
_atom_site_fract_x
_atom_site_fract_y
_atom_site_fract_z
Sb1 0.2339 0.2500 0.1521
Se1 0.3166 0.2500 0.7380
```

Formation energy without anion corrections in eV per formula unit: -0.20

***

A relaxed structure of LaZnC. Source: Alexandria, functional GGA-PBE.

Geometry as CIF:
```
data_LaZnC
_cell_length_a 7.8317
_cell_length_b 3.9904
_cell_length_c 8.1436
_cell_angle_alpha 90.00
_cell_angle_beta 104.30
_cell_angle_gamma 90.00
_space_group_name_H-M_alt 'C 1 2/m 1'
_space_group_IT_number 12
loop_
_space_group_symop_operation_xyz
'x,y,z'
'-x,-y,-z'
'-x,y,-z'
'x,-y,z'
'x+1/2,y+1/2,z'
'-x+1/2,-y+1/2,-z'
'-x+1/2,y+1/2,-z'
'x+1/2,-y+1/2,z'
loop_
_atom_site_label
_atom_site_fract_x
_atom_site_fract_y
_atom_site_fract_z
La1 0.0920 0.0000 0.3071
Zn1 0.1580 0.5000 0.9953
C1 0.0845 0.5000 0.5398
```

Energy relative to the elements in kJ per mole of atoms: -24

***

A relaxed structure of La2Hg2Au15. Source: Alexandria, functional GGA-PBE.

Geometry as CIF:
```
data_La2Hg2Au15
_cell_length_a 9.7429
_cell_length_b 9.7429
_cell_length_c 14.4672
_cell_angle_alpha 90.00
_cell_angle_beta 90.00
_cell_angle_gamma 120.00
_space_group_name_H-M_alt 'R -3 m'
_space_group_IT_number 166
_space_group_name_Hall '-R 3 2"'
loop_
_atom_site_label
_atom_site_fract_x
_atom_site_fract_y
_atom_site_fract_z
La1 0.0000 0.0000 0.1529
Hg1 0.0000 0.0000 0.3959
Au1 0.0000 0.3094 0.5000
Au2 0.0000 0.5000 0.0000
Au3 0.0133 0.5066 0.6496
```

Energy relative to the elements in kJ per mole of atoms: -28

***

A relaxed structure of ZnGeRuSeO. Source: Alexandria, functional GGA-PBE.

Geometry as CIF:
```
data_ZnGeRuSeO
_cell_length_a 12.0230
_cell_length_b 2.9855
_cell_length_c 4.2526
_cell_angle_alpha 90.00
_cell_angle_beta 93.31
_cell_angle_gamma 90.00
_space_group_name_H-M_alt 'C 1 m 1'
_space_group_IT_number 8
loop_
_space_group_symop_operation_xyz
'x,y,z'
'x,-y,z'
'x+1/2,y+1/2,z'
'x+1/2,-y+1/2,z'
loop_
_atom_site_label
_atom_site_fract_x
_atom_site_fract_y
_atom_site_fract_z
Zn1 0.0000 0.0000 0.0000
Ge1 0.2302 0.0000 0.7621
Ru1 0.1706 0.5000 0.2717
Se1 0.4905 0.0000 0.5030
O1 0.3216 0.5000 0.9550
```

Formation energy without anion corrections in eV per formula unit: -1.74
Energy above the most stable polymorph in this dataset in eV per atom: 0.2273

***

A relaxed structure of Ac2InTe. Source: Alexandria, functional GGA-PBE.

Geometry as CIF:
```
data_Ac2InTe
_cell_length_a 8.2349
_cell_length_b 8.2349
_cell_length_c 8.2349
_cell_angle_alpha 90.00
_cell_angle_beta 90.00
_cell_angle_gamma 90.00
_space_group_name_H-M_alt 'F m -3 m'
_space_group_IT_number 225
_space_group_name_Hall '-F 4 2 3'
loop_
_atom_site_label
_atom_site_fract_x
_atom_site_fract_y
_atom_site_fract_z
Ac1 0.2500 0.2500 0.2500
In1 0.0000 0.0000 0.0000
Te1 0.0000 0.0000 0.5000
```

Formation energy without anion corrections in eV per formula unit: -2.89
Energy above the most stable polymorph in this dataset in eV per atom: 0.2543

***

A relaxed structure of In2BrCl2. Source: Alexandria, functional GGA-PBE.

Geometry as CIF:
```
data_In2BrCl2
_cell_length_a 7.8259
_cell_length_b 7.8259
_cell_length_c 4.5279
_cell_angle_alpha 90.00
_cell_angle_beta 90.00
_cell_angle_gamma 90.00
_space_group_name_H-M_alt 'P 4/m b m'
_space_group_IT_number 127
_space_group_name_Hall '-P 4 2ab'
loop_
_atom_site_label
_atom_site_fract_x
_atom_site_fract_y
_atom_site_fract_z
In1 0.1437 0.3563 0.0000
Br1 0.0000 0.0000 0.0000
Cl1 0.2142 0.7142 0.5000
```

Formation energy without anion corrections in eV per formula unit: -3.49
Energy above the most stable polymorph in this dataset in eV per atom: 0.0987

***

What did the first record say?
A relaxed structure of NaYCBr2. Source: Alexandria, functional GGA-PBE.

Geometry as CIF:
```
data_NaYCBr2
_cell_length_a 5.0438
_cell_length_b 5.0438
_cell_length_c 4.5326
_cell_angle_alpha 90.00
_cell_angle_beta 90.00
_cell_angle_gamma 90.00
_space_group_name_H-M_alt 'P 4/m m m'
_space_group_IT_number 123
_space_group_name_Hall '-P 4 2'
loop_
_atom_site_label
_atom_site_fract_x
_atom_site_fract_y
_atom_site_fract_z
Na1 0.0000 0.0000 0.0000
Y1 0.5000 0.5000 0.0000
C1 0.0000 0.0000 0.5000
Br1 0.0000 0.5000 0.5000
```

Formation energy without anion corrections in eV per formula unit: 3.79

***

Q: What is the formula in the fifth record?
A: BaScW2